Material: Tb3CeSm2
Method: DFT, PBE
State: optimized geometry

Cell lengths 10.235, 10.235, 14.827 Å; angles 131.26, 131.26, 19.93 degrees
Sites, in units of the cell vectors:
Tb (0.065, 0.065, 0.396)
Tb (0.148, 0.148, 0.890)
Tb (0.394, 0.394, 0.355)
Tb (0.606, 0.606, 0.645)
Tb (0.852, 0.852, 0.110)
Tb (0.935, 0.935, 0.604)
Ce (0.479, 0.479, 0.857)
Ce (0.521, 0.521, 0.143)
Sm (0.228, 0.228, 0.377)
Sm (0.310, 0.310, 0.863)
Sm (0.690, 0.690, 0.137)
Sm (0.772, 0.772, 0.623)

Volume   393 Å³ per cell
DFT formation energy   90.0 meV per atom
Total DFT energy (no corrections)   -57.45 eV/cell
Symmetry   C2/m, No. 12